DFT (PBE) results for a geometry-optimized ReOsPb2 structure.

Cell lengths 4.755, 4.755, 3.352 Å; angles 90.00, 90.00, 90.00 degrees
Space group P4/mmm (No. 123)
One atom of each set of equivalent atoms:
Re  0.000  0.000  0.000 x1
Os  0.500  0.500  0.000 x1
Pb  0.000  0.500  0.500 x2

## Properties
Excess energy over the best structure of this formula in the dataset, eV/f.u.: 3.04
Energy relative to the elements, eV per atom: 1.1805
V, Å³ per atom: 18.95
Size of the total moment, μB per formula unit: 0.0